Density functional theory data (PBE) for VCoSiTc after structural relaxation.

abc: 4.126 4.126 4.126
angles: 60.00 60.00 60.00
Site moments in Bohr magnetons follow the coordinates.
Fractional coordinates of all 4 atoms:
V (0.250, 0.250, 0.250)  0.47
Si (0.750, 0.750, 0.750)  -0.01
Co (0.500, 0.500, 0.500)  0.63
Tc (0.000, 0.000, 0.000)  -0.10

Calculated values
Its energy relative to the elements, uncorrected is -0.450 eV per atom. The calculation puts the magnetization at 0.98 μB per formula unit. Its calculated volume is 50 Å³/f.u. The value obtained for the density of states at the Fermi level is 0.740 states/eV per atom. As for the electronic total energy: -33.8 eV/cell.

Density functional theory data (PBE) for YCoSi2Tc after structural relaxation.

abc: 4.087 4.087 5.638
angles: 111.25 111.25 90.00
Fractional coordinates of all 5 atoms:
Si (0.370, 0.370, 0.740)
Si (0.630, 0.630, 0.260)
Co (0.250, 0.750, 0.500)
Y (0.000, 0.000, 0.000)
Tc (0.750, 0.250, 0.500)

Calculated values
Its energy relative to the elements, uncorrected is -0.718 eV per atom. The calculation puts the magnetization at 0.00 μB per formula unit. Its calculated volume is 81 Å³/f.u. The value obtained for the density of states at the Fermi level is 0.755 states/eV per atom. As for the electronic total energy: -38.4 eV/cell.

Density functional theory data (PBE) for ZnCoSiTc after structural relaxation.

abc: 4.131 4.131 4.131
angles: 60.00 60.00 60.00
Site moments in Bohr magnetons follow the coordinates.
Fractional coordinates of all 4 atoms:
Si (0.250, 0.250, 0.250)  -0.01
Tc (0.000, 0.000, 0.000)  0.09
Zn (0.750, 0.750, 0.750)  0.00
Co (0.500, 0.500, 0.500)  0.37

Calculated values
Its energy relative to the elements, uncorrected is -0.167 eV per atom. The calculation puts the magnetization at 0.44 μB per formula unit. Its calculated volume is 50 Å³/f.u. The value obtained for the density of states at the Fermi level is 0.935 states/eV per atom. As for the electronic total energy: -24.8 eV/cell.

Density functional theory data (PBE) for CoSiTe2 after structural relaxation.

abc: 4.901 4.968 3.232
angles: 90.00 90.00 90.00
Site moments in Bohr magnetons follow the coordinates.
Fractional coordinates of all 4 atoms:
Si (0.000, 0.500, 0.500)  -0.01
Te (0.000, 0.000, 0.000)  -0.03
Te (0.500, 0.500, 0.000)  -0.02
Co (0.500, 0.000, 0.500)  0.73

Calculated values
Its energy relative to the elements, uncorrected is 0.599 eV per atom. The calculation puts the magnetization at 0.58 μB per formula unit. Its calculated volume is 79 Å³/f.u. The value obtained for the density of states at the Fermi level is 0.877 states/eV per atom. As for the electronic total energy: -16.4 eV/cell.

Density functional theory data (PBE) for CoSi4Te after structural relaxation.

abc: 5.198 5.198 5.198
angles: 60.00 60.00 60.00
Site moments in Bohr magnetons follow the coordinates.
Fractional coordinates of all 6 atoms:
Si (0.626, 0.626, 0.122)  0.00
Si (0.626, 0.122, 0.626)  0.00
Si (0.122, 0.626, 0.626)  0.00
Si (0.626, 0.626, 0.626)  0.00
Te (0.250, 0.250, 0.250)  -0.02
Co (0.000, 0.000, 0.000)  1.52

Calculated values
Its energy relative to the elements, uncorrected is 0.750 eV per atom. The calculation puts the magnetization at 1.40 μB per formula unit. Its calculated volume is 99 Å³/f.u. The value obtained for the density of states at the Fermi level is 1.317 states/eV per atom. As for the electronic total energy: -27.4 eV/cell.

Density functional theory data (PBE) for CoSiTe2 after structural relaxation.

abc: 9.117 9.117 9.117
angles: 21.42 21.42 21.42
Site moments in Bohr magnetons follow the coordinates.
Fractional coordinates of all 4 atoms:
Te (0.024, 0.024, 0.024)  0.00
Te (0.215, 0.215, 0.215)  0.00
Si (0.772, 0.772, 0.772)  0.00
Co (0.489, 0.489, 0.489)  0.11

Calculated values
Its energy relative to the elements, uncorrected is 0.123 eV per atom. The calculation puts the magnetization at 0.12 μB per formula unit. Its calculated volume is 89 Å³/f.u. The value obtained for the density of states at the Fermi level is 0.856 states/eV per atom. As for the electronic total energy: -18.3 eV/cell.

Density functional theory data (PBE) for CoSiTe2 after structural relaxation.

abc: 4.367 4.367 7.006
angles: 72.13 72.13 49.60
Fractional coordinates of all 4 atoms:
Co (0.449, 0.449, 0.374)
Si (0.167, 0.167, 0.376)
Te (0.859, 0.859, 0.652)
Te (0.025, 0.025, 0.098)

Calculated values
Its energy relative to the elements, uncorrected is -0.036 eV per atom. The calculation puts the magnetization at 0.00 μB per formula unit. Its calculated volume is 96 Å³/f.u. The value obtained for the density of states at the Fermi level is 0.565 states/eV per atom. As for the electronic total energy: -19.0 eV/cell.

Density functional theory data (PBE) for CoSiTe2 after structural relaxation.

abc: 3.883 3.883 6.702
angles: 73.12 73.12 60.00
Site moments in Bohr magnetons follow the coordinates.
Fractional coordinates of all 4 atoms:
Te (0.010, 0.010, 0.972)  0.00
Te (0.490, 0.490, 0.528)  0.00
Co (0.750, 0.750, 0.750)  0.55
Si (0.250, 0.250, 0.250)  0.03

Calculated values
Its energy relative to the elements, uncorrected is 0.196 eV per atom. The calculation puts the magnetization at 0.64 μB per formula unit. Its calculated volume is 82 Å³/f.u. The value obtained for the density of states at the Fermi level is 0.794 states/eV per atom. As for the electronic total energy: -18.0 eV/cell.